No. 1
Material: CsLaS2
Method: DFT, PBE
State: relaxed

Output
For the total energy, the calculation gives -0.1976 hartree per atom. As for the total moment: 0.0 μB/f.u.

a b c (Å): 4.3316 4.3316 8.5463
angles (deg): 75.32 75.32 60.00
Fractional positions:
1 Cs 0.4981 0.4981 0.5057
2 S 0.0628 0.0628 0.8115
3 La 0.6671 0.6671 0.9988
4 S 0.2720 0.2720 0.1840

***

No. 2
Material: TaCrCd2
Method: DFT, PBE
State: relaxed

Output
As for the total moment: 0.0 μB/f.u. The value obtained for the formation energy is 209 kJ/mol of formula units.

a b c (Å): 2.7911 2.7911 8.9962
angles (deg): 90.00 90.00 90.00
Fractional positions:
1 Ta 0.5000 0.5000 0.7500
2 Cd 0.0000 0.0000 0.0148
3 Cr 0.5000 0.5000 0.2500
4 Cd 0.0000 0.0000 0.4852